# KRu2Pt

KRu2Pt after structural relaxation (GGA-PBE, the Alexandria database).

a = 2.7440 Å, b = 4.6697 Å, c = 6.4363 Å
α = 90.00°, β = 98.06°, γ = 90.00°
Closest atoms and distances in Å follow each position.
Space group P2/m (No. 10)
Inequivalent atoms, fractional coordinates:
K (0.0000, 0.0000, 0.0000) x1  2 K 2.74
Ru (0.2755, 0.5000, 0.6638) x2  2 Ru 2.42-2.59, 2 Pt 2.67
Pt (0.5000, 0.0000, 0.5000) x1  4 Ru 2.67, 2 Pt 2.74

Values from the calculation:
volume	20.4	A^3/atom
energy above the lowest structure with this stoichiometry	382	meV/atom
DOS at the Fermi energy	1.31	states/eV/atom
formation energy from the elements	819	meV per atom
magnetic moment	1.870	μB/cell

---

# Ce3PmPt8

Ce3PmPt8 after structural relaxation (GGA-PBE, the Alexandria database).

a = 5.4834 Å, b = 5.4834 Å, c = 9.0569 Å
α = 90.00°, β = 90.00°, γ = 120.00°
Closest atoms and distances in Å follow each position.
Space group P3m1 (No. 156)
Inequivalent atoms, fractional coordinates:
Ce (0.0000, 0.0000, 0.0000) x1  12 Pt 3.20-3.25, 4 Ce 3.34-3.42
Ce (0.0000, 0.0000, 0.3773) x1  12 Pt 3.21-3.26, 3 Pm 3.38, 1 Ce 3.42
Ce (0.3333, 0.6667, 0.8819) x1  12 Pt 3.21-3.23, 3 Ce 3.34, 1 Pm 3.39
Pm (0.3333, 0.6667, 0.5076) x1  12 Pt 3.21-3.26, 4 Ce 3.38-3.39
Pt (0.0021, 0.5010, 0.1921) x3  6 Pt 2.72-2.77
Pt (0.3316, 0.1658, 0.6927) x3  6 Pt 2.73-2.77
Pt (0.6667, 0.3333, 0.4418) x1  6 Pt 2.77
Pt (0.6667, 0.3333, 0.9435) x1  6 Pt 2.76-2.77

Values from the calculation:
volume	19.7	A^3/atom
energy above the lowest structure with this stoichiometry	55	meV/atom
DOS at the Fermi energy	1.60	states/eV/atom
formation energy from the elements	-979	meV per atom
magnetic moment	2.313	μB/cell